Entry 1:
VASP calculation (SCAN) on a PBEsol-optimized structure of ScP2WO.

The structure in POSCAR format:
```
ScP2WO
1.0
4.7739 0.0000 0.0000
0.0000 4.7739 0.0000
0.0000 0.0000 3.7380
Sc P W O
1 2 1 1
Direct
0.0000 0.0000 0.0000 Sc
0.0000 0.5000 0.5000 P
0.5000 0.0000 0.5000 P
0.5000 0.5000 0.5000 W
0.5000 0.5000 0.0000 O
```

Output
DFT total energy, eV per cell: -114.75
V, Å³ per cell: 85.2



Entry 2:
VASP calculation (SCAN) on a PBEsol-optimized structure of Li8SiO6.

The structure in POSCAR format:
```
Li8SiO6
1.0
5.3892 0.0000 0.0000
-2.6946 4.6672 0.0000
0.0000 0.0000 10.6043
Li Si O
16 2 12
Direct
0.0000 0.3072 0.0000 Li
0.0000 0.3950 0.6413 Li
0.0000 0.6050 0.1413 Li
0.0000 0.6928 0.5000 Li
0.3072 0.0000 0.0000 Li
0.3072 0.3072 0.5000 Li
0.3333 0.6667 0.3586 Li
0.3333 0.6667 0.8586 Li
0.3950 0.0000 0.6413 Li
0.3950 0.3950 0.1413 Li
0.6050 0.0000 0.1413 Li
0.6050 0.6050 0.6413 Li
0.6667 0.3333 0.3586 Li
0.6667 0.3333 0.8586 Li
0.6928 0.0000 0.5000 Li
0.6928 0.6928 0.0000 Li
0.0000 0.0000 0.2706 Si
0.0000 0.0000 0.7706 Si
0.0000 0.0000 0.1125 O
0.0000 0.0000 0.6125 O
0.0000 0.2904 0.8172 O
0.0000 0.7096 0.3172 O
0.2904 0.0000 0.8172 O
0.2904 0.2904 0.3172 O
0.3333 0.6667 0.0503 O
0.3333 0.6667 0.5503 O
0.6667 0.3333 0.0503 O
0.6667 0.3333 0.5503 O
0.7096 0.0000 0.3172 O
0.7096 0.7096 0.8172 O
```

Output
DFT total energy, eV per cell: -204.01
V, Å³ per cell: 266.7



Entry 3:
VASP calculation (SCAN) on a PBEsol-optimized structure of KTlSe.

The structure in POSCAR format:
```
KTlSe
1.0
4.3917 0.0000 0.0000
-2.1959 3.8034 0.0000
0.0000 0.0000 5.9911
K Tl Se
1 1 1
Direct
0.0000 0.0000 0.0000 K
0.6667 0.3333 0.4405 Tl
0.3333 0.6667 0.6854 Se
```

Output
DFT total energy, eV per cell: -103.29
Energy above the lowest structure with this stoichiometry, eV/atom: 0.000
V, Å³ per cell: 100.1



Entry 4:
VASP calculation (SCAN) on a PBEsol-optimized structure of La2Tc.

The structure in POSCAR format:
```
La2Tc
1.0
14.1937 0.0000 0.0000
0.0000 3.4641 0.0000
-0.7880 0.0000 3.3724
La Tc
4 2
Direct
0.1240 0.0000 0.1252 La
0.3760 0.5000 0.8748 La
0.6240 0.5000 0.1252 La
0.8760 0.0000 0.8748 La
0.0000 0.5000 0.5000 Tc
0.5000 0.0000 0.5000 Tc
```

Output
DFT total energy, eV per cell: -242.17
Energy above the lowest structure with this stoichiometry, eV/atom: 0.000
Formation energy from the elements, meV/atom: 61
V, Å³ per cell: 165.8



Entry 5:
VASP calculation (SCAN) on a PBEsol-optimized structure of La2HgRu.

The structure in POSCAR format:
```
La2HgRu
1.0
4.0430 0.0000 0.0000
-2.0215 3.5014 0.0000
0.0000 0.0000 23.5530
La Hg Ru
6 3 3
Direct
0.0000 0.0000 0.2322 La
0.0000 0.0000 0.7678 La
0.3333 0.6667 0.4345 La
0.3333 0.6667 0.8989 La
0.6667 0.3333 0.1011 La
0.6667 0.3333 0.5655 La
0.0000 0.0000 0.0000 Hg
0.3333 0.6667 0.6667 Hg
0.6667 0.3333 0.3333 Hg
0.0000 0.0000 0.5000 Ru
0.3333 0.6667 0.1667 Ru
0.6667 0.3333 0.8333 Ru
```

Output
DFT total energy, eV per cell: -572.58
Formation energy from the elements, meV/atom: -414
V, Å³ per cell: 333.4



Entry 6:
VASP calculation (SCAN) on a PBEsol-optimized structure of MgTa2Be.

The structure in POSCAR format:
```
MgTa2Be
1.0
6.3724 0.0000 0.0000
0.0000 6.3724 0.0000
0.0000 0.0000 6.3724
Mg Ta Be
4 8 4
Direct
0.0000 0.0000 0.0000 Mg
0.0000 0.5000 0.5000 Mg
0.5000 0.0000 0.5000 Mg
0.5000 0.5000 0.0000 Mg
0.0000 0.0000 0.5000 Ta
0.0000 0.5000 0.0000 Ta
0.2500 0.2500 0.2500 Ta
0.2500 0.7500 0.7500 Ta
0.5000 0.0000 0.0000 Ta
0.5000 0.5000 0.5000 Ta
0.7500 0.2500 0.7500 Ta
0.7500 0.7500 0.2500 Ta
0.2500 0.2500 0.7500 Be
0.2500 0.7500 0.2500 Be
0.7500 0.2500 0.2500 Be
0.7500 0.7500 0.7500 Be
```

Output
DFT total energy, eV per cell: -561.21
Energy above the lowest structure with this stoichiometry, eV/atom: 0.220
Formation energy from the elements, meV/atom: 548
V, Å³ per cell: 258.8



Entry 7:
VASP calculation (SCAN) on a PBEsol-optimized structure of Nb4V3FeSe20.

The structure in POSCAR format:
```
Nb4V3FeSe20
1.0
9.2436 0.0000 0.0000
0.0000 3.4053 0.0000
-1.2746 0.0000 18.2062
Nb V Fe Se
4 3 1 20
Direct
0.0000 0.0000 0.0000 Nb
0.1681 0.5000 0.6361 Nb
0.4873 0.0000 0.5015 Nb
0.6864 0.5000 0.1361 Nb
0.0039 0.0000 0.2769 V
0.4888 0.0000 0.7727 V
0.6790 0.5000 0.8639 V
0.1806 0.5000 0.3690 Fe
0.0207 0.0000 0.4036 Se
0.1738 0.5000 0.2413 Se
0.1743 0.5000 0.9376 Se
0.1789 0.5000 0.0682 Se
0.2707 0.5000 0.4972 Se
0.2854 0.5000 0.7764 Se
0.3634 0.0000 0.3632 Se
0.3867 0.0000 0.6384 Se
0.5028 0.0000 0.0698 Se
0.5122 0.0000 0.9052 Se
0.5176 0.0000 0.2010 Se
0.6544 0.5000 0.4354 Se
0.6557 0.5000 0.7314 Se
0.6697 0.5000 0.5676 Se
0.7816 0.5000 0.9979 Se
0.7991 0.5000 0.2765 Se
0.8821 0.0000 0.8603 Se
0.9043 0.0000 0.1393 Se
0.9887 0.0000 0.5680 Se
0.9962 0.0000 0.6994 Se
```

Output
DFT total energy, eV per cell: -623.97
V, Å³ per cell: 573.1



Entry 8:
VASP calculation (SCAN) on a PBEsol-optimized structure of Sc2ReMo.

The structure in POSCAR format:
```
Sc2ReMo
1.0
3.2396 0.0000 0.0000
0.0000 4.5434 0.0000
0.0000 0.0000 4.5817
Sc Re Mo
2 1 1
Direct
0.0000 0.0000 0.0000 Sc
0.5000 0.0000 0.5000 Sc
0.0000 0.5000 0.5000 Re
0.5000 0.5000 0.0000 Mo
```

Output
DFT total energy, eV per cell: -134.02
Energy above the lowest structure with this stoichiometry, eV/atom: 0.226
Formation energy from the elements, meV/atom: 108
V, Å³ per cell: 67.4



Entry 9:
VASP calculation (SCAN) on a PBEsol-optimized structure of TlMo2Os.

The structure in POSCAR format:
```
TlMo2Os
1.0
6.3926 0.0000 0.0000
0.0000 6.3926 0.0000
0.0000 0.0000 6.3926
Tl Mo Os
4 8 4
Direct
0.0000 0.0000 0.0000 Tl
0.0000 0.5000 0.5000 Tl
0.5000 0.0000 0.5000 Tl
0.5000 0.5000 0.0000 Tl
0.2500 0.2500 0.2500 Mo
0.2500 0.2500 0.7500 Mo
0.2500 0.7500 0.2500 Mo
0.2500 0.7500 0.7500 Mo
0.7500 0.2500 0.2500 Mo
0.7500 0.2500 0.7500 Mo
0.7500 0.7500 0.2500 Mo
0.7500 0.7500 0.7500 Mo
0.0000 0.0000 0.5000 Os
0.0000 0.5000 0.0000 Os
0.5000 0.0000 0.0000 Os
0.5000 0.5000 0.5000 Os
```

Output
DFT total energy, eV per cell: -842.52
Energy above the lowest structure with this stoichiometry, eV/atom: 0.273
Formation energy from the elements, meV/atom: 845
V, Å³ per cell: 261.2



Entry 10:
VASP calculation (SCAN) on a PBEsol-optimized structure of Os2RuPb.

The structure in POSCAR format:
```
Os2RuPb
1.0
2.7990 0.0000 0.0000
0.0000 3.7794 0.0000
-0.5669 0.0000 6.1894
Os Ru Pb
2 1 1
Direct
0.0000 0.0000 0.0000 Os
0.4615 0.5000 0.8029 Os
0.9150 0.0000 0.5862 Ru
0.4133 0.5000 0.3109 Pb
```

Output
DFT total energy, eV per cell: -251.42
Formation energy from the elements, meV/atom: 736
V, Å³ per cell: 65.5



Entry 11:
VASP calculation (SCAN) on a PBEsol-optimized structure of TlP2Ir2.

The structure in POSCAR format:
```
TlP2Ir2
1.0
3.9047 0.0000 0.0000
0.0000 3.9047 0.0000
0.0000 0.0000 12.6740
Tl P Ir
2 4 4
Direct
0.0000 0.0000 0.0000 Tl
0.5000 0.5000 0.5000 Tl
0.0000 0.0000 0.3523 P
0.0000 0.0000 0.6477 P
0.5000 0.5000 0.1477 P
0.5000 0.5000 0.8523 P
0.0000 0.5000 0.2500 Ir
0.0000 0.5000 0.7500 Ir
0.5000 0.0000 0.2500 Ir
0.5000 0.0000 0.7500 Ir
```

Output
DFT total energy, eV per cell: -474.76
Formation energy from the elements, meV/atom: -406
V, Å³ per cell: 193.2



Entry 12:
VASP calculation (SCAN) on a PBEsol-optimized structure of Tc4SbOs.

The structure in POSCAR format:
```
Tc4SbOs
1.0
0.0000 3.5876 3.5876
3.5876 0.0000 3.5876
3.5876 3.5876 0.0000
Tc Sb Os
4 1 1
Direct
0.3758 0.3758 0.3758 Tc
0.3758 0.3758 0.8725 Tc
0.3758 0.8725 0.3758 Tc
0.8725 0.3758 0.3758 Tc
0.0000 0.0000 0.0000 Sb
0.7500 0.7500 0.7500 Os
```

Output
DFT total energy, eV per cell: -245.47
V, Å³ per cell: 92.3



Entry 13:
VASP calculation (SCAN) on a PBEsol-optimized structure of KBa2InBr.

The structure in POSCAR format:
```
KBa2InBr
1.0
6.2552 0.0000 0.0000
0.0000 6.2552 0.0000
0.0000 0.0000 5.7770
K Ba In Br
1 2 1 1
Direct
0.0000 0.0000 0.0000 K
0.0000 0.5000 0.5000 Ba
0.5000 0.0000 0.5000 Ba
0.5000 0.5000 0.0000 In
0.0000 0.0000 0.5000 Br
```

Output
DFT total energy, eV per cell: -143.73
V, Å³ per cell: 226.0